The following is a PBE+U calculation of a relaxed structure of MnAsF2, from Alexandria.

POSCAR file:
```
MnAsF2
1.0
3.1846 -2.9245 0.2317
-0.7558 -3.8900 1.7448
-0.1052 -3.5195 -2.5198
Mn As F
1 1 2
Direct
0.0000 0.0000 0.0000
0.5000 0.5000 0.5000
0.7500 0.7500 0.7500
0.2500 0.2500 0.2500
```

Computed properties:
symmetry = Fm-3m
DFT total energy = -4.722 eV/atom